{"formula": "La8Nd6Y", "functional": "PBE", "state": "optimized geometry", "sg": "No. 148", "mass_density_g_cm3": 6.34, "formation_energy_ev_per_atom": 0.13, "magnetic_moment_mub_per_fu": 0.0, "cell": [[-7.345, 5.123, 4.641], [-8.840, 1.454, -4.634], [-7.521, -3.041, 2.416]], "species": ["Nd", "Nd", "Nd", "Nd", "Nd", "Nd", "La", "La", "La", "La", "La", "La", "La", "La", "Y"], "fractional_positions": [[0.083, 0.283, 0.025], [0.717, 0.392, 0.975], [0.283, 0.608, 0.025], [0.392, 0.917, 0.975], [0.917, 0.717, 0.975], [0.608, 0.083, 0.025], [0.225, 0.932, 0.491], [0.353, 0.225, 0.491], [0.068, 0.647, 0.509], [0.775, 0.068, 0.509], [0.586, 0.586, 0.242], [0.932, 0.353, 0.491], [0.414, 0.414, 0.758], [0.647, 0.775, 0.509], [0.000, 0.000, 0.000]]}



{"formula": "LaNd2Y5", "functional": "PBE", "state": "optimized geometry", "sg": "No. 55", "mass_density_g_cm3": 5.39, "formation_energy_ev_per_atom": 0.02, "magnetic_moment_mub_per_fu": 0.0, "cell": [[5.125, 0.000, 0.000], [0.000, 7.235, 0.000], [0.000, 0.000, 14.494]], "species": ["Y", "Y", "Y", "Y", "Y", "Y", "Y", "Y", "Y", "Y", "Nd", "Nd", "Nd", "Nd", "La", "La"], "fractional_positions": [[0.000, 0.997, 0.248], [0.000, 0.000, 0.000], [0.000, 0.497, 0.252], [0.500, 0.248, 0.374], [0.000, 0.003, 0.752], [0.500, 0.252, 0.874], [0.500, 0.752, 0.626], [0.000, 0.503, 0.748], [0.000, 0.500, 0.500], [0.500, 0.748, 0.126], [0.500, 0.752, 0.874], [0.500, 0.248, 0.126], [0.500, 0.748, 0.374], [0.500, 0.252, 0.626], [0.000, 0.500, 0.000], [0.000, 0.000, 0.500]]}



{"formula": "La3Nd3Y", "functional": "PBE", "state": "optimized geometry", "sg": "No. 148", "mass_density_g_cm3": 6.12, "formation_energy_ev_per_atom": 0.21, "magnetic_moment_mub_per_fu": 0.0, "cell": [[8.027, 0.433, 4.053], [2.678, 7.580, 4.053], [0.578, 0.433, 8.974]], "species": ["Y", "Y", "La", "La", "La", "La", "La", "La", "Nd", "Nd", "Nd", "Nd", "Nd", "Nd"], "fractional_positions": [[0.349, 0.349, 0.349], [0.651, 0.651, 0.651], [0.059, 0.300, 0.812], [0.812, 0.059, 0.300], [0.941, 0.700, 0.188], [0.188, 0.941, 0.700], [0.300, 0.812, 0.059], [0.700, 0.188, 0.941], [0.067, 0.723, 0.568], [0.277, 0.432, 0.933], [0.568, 0.067, 0.723], [0.723, 0.568, 0.067], [0.933, 0.277, 0.432], [0.432, 0.933, 0.277]]}



{"formula": "La2Nd3Y5", "functional": "PBE", "state": "optimized geometry", "sg": "No. 15", "mass_density_g_cm3": 5.59, "formation_energy_ev_per_atom": 0.16, "magnetic_moment_mub_per_fu": 0.0, "cell": [[8.308, 1.412, -3.803], [0.108, 8.394, -3.875], [-1.440, -1.577, 11.121]], "species": ["Nd", "Nd", "Nd", "Nd", "Nd", "Nd", "La", "La", "La", "La", "Y", "Y", "Y", "Y", "Y", "Y", "Y", "Y", "Y", "Y"], "fractional_positions": [[0.774, 0.024, 0.047], [0.272, 0.521, 0.749], [0.226, 0.976, 0.953], [0.728, 0.479, 0.251], [0.976, 0.228, 0.749], [0.024, 0.772, 0.251], [0.478, 0.726, 0.747], [0.231, 0.980, 0.253], [0.522, 0.274, 0.253], [0.769, 0.020, 0.747], [0.725, 0.475, 0.950], [0.275, 0.525, 0.050], [0.973, 0.223, 0.446], [0.873, 0.616, 0.738], [0.635, 0.878, 0.262], [0.027, 0.777, 0.554], [0.127, 0.384, 0.262], [0.528, 0.278, 0.556], [0.472, 0.722, 0.444], [0.365, 0.122, 0.738]]}